Record 1
## Tm2WS (PBE)

Data for an optimized crystal structure of Tm2WS.

Spin magnetization = 0.00 μB per formula unit
Uncorrected energy = -6.494 eV per atom

Lattice parameters (Å, degrees): 3.3231 3.3231 27.5752 90.00 90.00 120.00
Closest atoms and distances in Å follow each position.
Space group R-3m (No. 166, hexagonal axes)
One atom of each set of equivalent atoms:
Tm: 0.0000 0.0000 0.1010 (multiplicity 6)  3 S 2.64, 1 W 2.78
W: 0.0000 0.0000 0.0000 (multiplicity 3)  2 Tm 2.78
S: 0.0000 0.0000 0.5000 (multiplicity 3)  6 Tm 2.64

---

Record 2
## TmW4S8 (PBE)

Data for an optimized crystal structure of TmW4S8.

Spin magnetization = 0.00 μB per formula unit
Uncorrected energy = -7.502 eV per atom

Lattice parameters (Å, degrees): 6.5845 6.5845 20.1152 90.00 90.00 120.00
Closest atoms and distances in Å follow each position.
Space group R-3m (No. 166, hexagonal axes)
One atom of each set of equivalent atoms:
Tm: 0.0000 0.0000 0.0000 (multiplicity 3)  6 S 2.64
W: 0.0000 0.0000 0.5000 (multiplicity 3)  6 S 2.43
W: 0.0000 0.5000 0.5000 (multiplicity 9)  6 S 2.45-2.48
S: 0.0000 0.0000 0.2432 (multiplicity 6)  3 W 2.45
S: 0.0075 0.5038 0.2446 (multiplicity 18)  3 W 2.43-2.48, 1 Tm 2.64

---

Record 3
## Y4TmS5 (PBE)

Data for an optimized crystal structure of Y4TmS5.

Spin magnetization = 0.00 μB per formula unit
Uncorrected energy = -7.075 eV per atom

Lattice parameters (Å, degrees): 3.9066 5.5120 19.5340 90.00 90.00 90.00
Closest atoms and distances in Å follow each position.
Space group Immm (No. 71)
One atom of each set of equivalent atoms:
Y: 0.0000 0.0000 0.1003 (multiplicity 4)  6 S 2.76-2.77
Y: 0.0000 0.0000 0.3010 (multiplicity 4)  6 S 2.76-2.78
Tm: 0.0000 0.0000 0.5000 (multiplicity 2)  6 S 2.73-2.76
S: 0.0000 0.5000 0.0974 (multiplicity 4)  2 Tm 2.73, 4 Y 2.76-2.78
S: 0.0000 0.5000 0.2995 (multiplicity 4)  6 Y 2.76-2.77
S: 0.0000 0.5000 0.5000 (multiplicity 2)  2 Tm 2.76, 4 Y 2.77

---

Record 4
## YTm2S4 (PBE)

Data for an optimized crystal structure of YTm2S4.

Spin magnetization = 0.00 μB per formula unit
E above lowest polymorph = 0 meV/atom
Uncorrected energy = -6.633 eV per atom

Lattice parameters (Å, degrees): 7.7720 7.8079 10.8322 90.00 90.00 90.00
Closest atoms and distances in Å follow each position.
Space group Imma (No. 74)
One atom of each set of equivalent atoms:
Y: 0.0000 0.0000 0.0000 (multiplicity 4)  6 S 2.73-2.78
Tm: 0.0000 0.0000 0.5000 (multiplicity 4)  6 S 2.69-2.73
Tm: 0.2500 0.2500 0.2500 (multiplicity 4)  6 S 2.70-2.72
S: 0.0000 0.0102 0.2519 (multiplicity 8)  3 Tm 2.69-2.70, 1 Y 2.73
S: 0.2460 0.2500 0.5011 (multiplicity 8)  3 Tm 2.72-2.73, 2 Y 2.78

---

Record 5
## YTmS3 (PBE)

Data for an optimized crystal structure of YTmS3.

Spin magnetization = 0.00 μB per formula unit
Uncorrected energy = -6.585 eV per atom

Lattice parameters (Å, degrees): 6.6334 6.6334 19.9415 90.00 90.00 120.00
Closest atoms and distances in Å follow each position.
Space group R32 (No. 155, hexagonal axes)
One atom of each set of equivalent atoms:
Y: 0.0000 0.0000 0.1519 (multiplicity 6)  6 S 2.73-2.79
Tm: 0.0000 0.0000 0.3456 (multiplicity 6)  6 S 2.70-2.74
S: 0.0062 0.3020 0.2505 (multiplicity 18)  2 Tm 2.70-2.74, 2 Y 2.73-2.79

---

Record 6
## YTm2S3 (PBE)

Data for an optimized crystal structure of YTm2S3.

Spin magnetization = 0.00 μB per formula unit
Uncorrected energy = -6.581 eV per atom

Lattice parameters (Å, degrees): 3.8794 5.4586 11.5867 90.00 90.00 90.00
Closest atoms and distances in Å follow each position.
Space group Immm (No. 71)
One atom of each set of equivalent atoms:
Y: 0.0000 0.0000 0.0000 (multiplicity 2)  6 S 2.73-2.77
Tm: 0.0000 0.0000 0.3363 (multiplicity 4)  6 S 2.71-2.73
S: 0.0000 0.5000 0.0000 (multiplicity 2)  4 Tm 2.71, 2 Y 2.73
S: 0.0000 0.5000 0.3287 (multiplicity 4)  4 Tm 2.72-2.73, 2 Y 2.77

---

Record 7
## Y3Tm2S4 (PBE)

Data for an optimized crystal structure of Y3Tm2S4.

Spin magnetization = 0.00 μB per formula unit
Uncorrected energy = -6.731 eV per atom

Lattice parameters (Å, degrees): 3.8327 3.8327 15.8662 90.00 90.00 120.00
Closest atoms and distances in Å follow each position.
Space group P-3m1 (No. 164)
One atom of each set of equivalent atoms:
Y: 0.0000 0.0000 0.0000 (multiplicity 1)  6 S 2.77
Y: 0.3333 0.6667 0.5904 (multiplicity 2)  3 S 2.79
Tm: 0.3333 0.6667 0.2051 (multiplicity 2)  6 S 2.70-2.72
S: 0.0000 0.0000 0.3023 (multiplicity 2)  3 Tm 2.70, 3 Y 2.79
S: 0.3333 0.6667 0.8948 (multiplicity 2)  3 Tm 2.72, 3 Y 2.77

---

Record 8
## Y2Tm3S6 (PBE)

Data for an optimized crystal structure of Y2Tm3S6.

Spin magnetization = 0.00 μB per formula unit
Uncorrected energy = -6.708 eV per atom

Lattice parameters (Å, degrees): 6.7115 11.5775 6.6976 90.00 109.45 90.00
Closest atoms and distances in Å follow each position.
Space group C2/m (No. 12)
One atom of each set of equivalent atoms:
Y: 0.0000 0.1653 0.0000 (multiplicity 4)  6 S 2.74-2.77
Tm: 0.0000 0.0000 0.5000 (multiplicity 2)  6 S 2.71-2.75
Tm: 0.0000 0.3365 0.5000 (multiplicity 4)  6 S 2.69-2.74
S: 0.2467 0.5000 0.7484 (multiplicity 4)  3 Tm 2.69-2.75, 2 Y 2.74
S: 0.2484 0.1663 0.7435 (multiplicity 8)  3 Tm 2.71-2.74, 2 Y 2.76-2.77

---

Record 9
## YTm6S8 (PBE)

Data for an optimized crystal structure of YTm6S8.

Spin magnetization = 0.00 μB per formula unit
Uncorrected energy = -6.435 eV per atom

Lattice parameters (Å, degrees): 10.8589 10.8589 10.8589 90.00 90.00 90.00
Closest atoms and distances in Å follow each position.
Space group Fm-3m (No. 225)
One atom of each set of equivalent atoms:
Y: 0.0000 0.0000 0.0000 (multiplicity 4)  6 S 2.76
Tm: 0.0000 0.2500 0.2500 (multiplicity 24)  6 S 2.71-2.72
S: 0.0000 0.0000 0.2541 (multiplicity 24)  4 Tm 2.72, 1 Y 2.76
S: 0.2500 0.2500 0.2500 (multiplicity 8)  6 Tm 2.71

---

Record 10
## Y2TmS (PBE)

Data for an optimized crystal structure of Y2TmS.

Spin magnetization = 0.51 μB per formula unit
E above lowest polymorph = 0 meV/atom
Uncorrected energy = -6.344 eV per atom

Lattice parameters (Å, degrees): 3.7356 3.7356 27.3289 90.00 90.00 120.00
Closest atoms and distances in Å follow each position.
Space group R3m (No. 160, hexagonal axes)
One atom of each set of equivalent atoms:
Y: 0.0000 0.0000 0.0000 (multiplicity 3)  3 S 2.74
Y: 0.0000 0.0000 0.2099 (multiplicity 3)  3 S 2.74
Tm: 0.0000 0.0000 0.7722 (multiplicity 3)  6 Y 3.57-3.60, 6 Tm 3.74
S: 0.0000 0.0000 0.6051 (multiplicity 3)  6 Y 2.74

---

Record 11
## Y2TmS4 (PBE)

Data for an optimized crystal structure of Y2TmS4.

Spin magnetization = 0.00 μB per formula unit
E above lowest polymorph = 31 meV/atom
Uncorrected energy = -6.878 eV per atom

Lattice parameters (Å, degrees): 3.7777 12.9233 13.1073 90.00 90.00 90.00
Closest atoms and distances in Å follow each position.
Space group Cmcm (No. 63)
One atom of each set of equivalent atoms:
Y: 0.0000 0.1294 0.0704 (multiplicity 8)  6 S 2.69-2.81
Tm: 0.0000 0.3725 0.2500 (multiplicity 4)  6 S 2.71-2.79
S: 0.0000 0.0230 0.2500 (multiplicity 4)  2 Tm 2.71, 2 Y 2.73
S: 0.0000 0.2221 0.6240 (multiplicity 8)  3 Y 2.78-2.81, 2 Tm 2.79
S: 0.0000 0.5000 0.0000 (multiplicity 4)  4 Y 2.69

---

Record 12
## YTm2S (PBE)

Data for an optimized crystal structure of YTm2S.

Spin magnetization = 0.69 μB per formula unit
Uncorrected energy = -5.589 eV per atom

Lattice parameters (Å, degrees): 3.5973 3.5973 29.8987 90.00 90.00 120.00
Closest atoms and distances in Å follow each position.
Space group R-3m (No. 166, hexagonal axes)
One atom of each set of equivalent atoms:
Y: 0.0000 0.0000 0.0000 (multiplicity 3)  2 Tm 3.34, 6 Y 3.60
Tm: 0.0000 0.0000 0.1119 (multiplicity 6)  3 S 2.65
S: 0.0000 0.0000 0.5000 (multiplicity 3)  6 Tm 2.65

---

What N(E_F) values result from the calculations? In sequence: 3.739, 22.368, 9.145, 6.829, 0.000, 4.735, 5.549, 7.790, 22.911, 9.816, 8.336, 11.122 states/eV/cell.